No. 1
DFT (PBE) results for RbLaSc2W after structural relaxation.

Summary:
E	-5.23	eV/atom
Fermi-level density of states	7.581	states/eV per cell
total moment	0.01	μB per formula unit
ΔH_f (0 K)	1.07	eV/atom

```
data_RbLaSc2W
_chemical_formula_sum 'Rb1 La1 Sc2 W1'
_space_group_name_H-M_alt 'P 4/m m m'
_space_group_IT_number 123
_space_group_name_Hall '-P 4 2'
_cell_length_a 5.170
_cell_length_b 5.170
_cell_length_c 6.098
_cell_angle_alpha 90.00
_cell_angle_beta 90.00
_cell_angle_gamma 90.00
loop_
_atom_site_label
_atom_site_fract_x
_atom_site_fract_y
_atom_site_fract_z
Rb1 0.000 0.000 0.000
La1 0.500 0.500 0.000
Sc1 0.000 0.500 0.500
W1 0.000 0.000 0.500
```

***

No. 2
DFT (PBE) results for RbLaYSc2 after structural relaxation.

Summary:
E	-4.15	eV/atom
Fermi-level density of states	4.414	states/eV per cell
total moment	0.99	μB per formula unit
ΔH_f (0 K)	0.86	eV/atom

```
data_RbLaYSc2
_chemical_formula_sum 'Rb1 La1 Y1 Sc2'
_space_group_name_H-M_alt 'P 4/m m m'
_space_group_IT_number 123
_space_group_name_Hall '-P 4 2'
_cell_length_a 5.666
_cell_length_b 5.666
_cell_length_c 5.961
_cell_angle_alpha 90.00
_cell_angle_beta 90.00
_cell_angle_gamma 90.00
loop_
_atom_site_label
_atom_site_fract_x
_atom_site_fract_y
_atom_site_fract_z
Rb1 0.000 0.000 0.000
La1 0.500 0.500 0.500
Y1 0.500 0.500 0.000
Sc1 0.000 0.500 0.500
```

***

No. 3
DFT (PBE) results for RbLa2Se after structural relaxation.

Summary:
E	-3.95	eV/atom
Fermi-level density of states	9.242	states/eV per cell
uncorrected formation energy	-1.5	eV per formula unit
total moment	2.91	μB per formula unit

```
data_RbLa2Se
_chemical_formula_sum 'Rb4 La8 Se4'
_space_group_name_H-M_alt 'I -4 2 d'
_space_group_IT_number 122
_space_group_name_Hall 'I -4 2bw'
_cell_length_a 9.908
_cell_length_b 9.908
_cell_length_c 7.026
_cell_angle_alpha 90.00
_cell_angle_beta 90.00
_cell_angle_gamma 90.00
loop_
_atom_site_label
_atom_site_fract_x
_atom_site_fract_y
_atom_site_fract_z
Rb1 0.000 0.000 0.000
La1 0.141 0.250 0.625
Se1 0.000 0.000 0.500
```

***

No. 4
DFT (PBE) results for RbLa3Se4 after structural relaxation.

Summary:
E	-5.61	eV/atom
Fermi-level density of states	8.311	states/eV per cell
uncorrected formation energy	-15.2	eV per formula unit
total moment	0.00	μB per formula unit

```
data_RbLa3Se4
_chemical_formula_sum 'Rb2 La6 Se8'
_space_group_name_H-M_alt 'P 63/m m c'
_space_group_IT_number 194
_space_group_name_Hall '-P 6c 2c'
_cell_length_a 4.3869
_cell_length_b 4.3869
_cell_length_c 30.0589
_cell_angle_alpha 90.00
_cell_angle_beta 90.00
_cell_angle_gamma 120.00
loop_
_atom_site_label
_atom_site_fract_x
_atom_site_fract_y
_atom_site_fract_z
Rb1 0.3333 0.6667 0.2500
La1 0.0000 0.0000 0.0000
La2 0.3333 0.6667 0.6157
Se1 0.0000 0.0000 0.1703
Se2 0.3333 0.6667 0.0582
```

***

No. 5
DFT (PBE) results for Rb3LaSe after structural relaxation.

Summary:
E	-1.51	eV/atom
Fermi-level density of states	5.568	states/eV per cell
uncorrected formation energy	3.8	eV per formula unit
total moment	3.87	μB per formula unit

```
data_Rb3LaSe
_chemical_formula_sum 'Rb3 La1 Se1'
_space_group_name_H-M_alt 'P m -3 m'
_space_group_IT_number 221
_space_group_name_Hall '-P 4 2 3'
_cell_length_a 6.707
_cell_length_b 6.707
_cell_length_c 6.707
_cell_angle_alpha 90.00
_cell_angle_beta 90.00
_cell_angle_gamma 90.00
loop_
_atom_site_label
_atom_site_fract_x
_atom_site_fract_y
_atom_site_fract_z
Rb1 0.000 0.000 0.500
La1 0.000 0.000 0.000
Se1 0.500 0.500 0.500
```

***

No. 6
DFT (PBE) results for RbLa3Se after structural relaxation.

Summary:
E above lowest polymorph	0	meV per atom
E	-4.19	eV/atom
Fermi-level density of states	11.535	states/eV per cell
uncorrected formation energy	-1.7	eV per formula unit
total moment	0.01	μB per formula unit

```
data_RbLa3Se
_chemical_formula_sum 'Rb1 La3 Se1'
_space_group_name_H-M_alt 'P m -3 m'
_space_group_IT_number 221
_space_group_name_Hall '-P 4 2 3'
_cell_length_a 5.917
_cell_length_b 5.917
_cell_length_c 5.917
_cell_angle_alpha 90.00
_cell_angle_beta 90.00
_cell_angle_gamma 90.00
loop_
_atom_site_label
_atom_site_fract_x
_atom_site_fract_y
_atom_site_fract_z
Rb1 0.000 0.000 0.000
La1 0.000 0.500 0.500
Se1 0.500 0.500 0.500
```

***

No. 7
DFT (PBE) results for RbLa3Se after structural relaxation.

Summary:
E above lowest polymorph	1231	meV per atom
E	-2.96	eV/atom
Fermi-level density of states	8.905	states/eV per cell
uncorrected formation energy	4.4	eV per formula unit
total moment	0.00	μB per formula unit

```
data_RbLa3Se
_chemical_formula_sum 'Rb1 La3 Se1'
_space_group_name_H-M_alt 'P m -3 m'
_space_group_IT_number 221
_space_group_name_Hall '-P 4 2 3'
_cell_length_a 5.636
_cell_length_b 5.636
_cell_length_c 5.636
_cell_angle_alpha 90.00
_cell_angle_beta 90.00
_cell_angle_gamma 90.00
loop_
_atom_site_label
_atom_site_fract_x
_atom_site_fract_y
_atom_site_fract_z
Rb1 0.000 0.000 0.000
La1 0.000 0.000 0.500
Se1 0.500 0.500 0.500
```

***

No. 8
DFT (PBE) results for RbLaSnSe4 after structural relaxation.

Summary:
E	-4.60	eV/atom
uncorrected formation energy	-8.4	eV per formula unit
total moment	0.00	μB per formula unit

```
data_RbLaSnSe4
_chemical_formula_sum 'Rb2 La2 Sn2 Se8'
_space_group_name_H-M_alt 'P 1 21/m 1'
_space_group_IT_number 11
_cell_length_a 7.191
_cell_length_b 7.258
_cell_length_c 9.622
_cell_angle_alpha 90.00
_cell_angle_beta 107.53
_cell_angle_gamma 90.00
loop_
_space_group_symop_operation_xyz
'x,y,z'
'-x,-y,-z'
'-x,y+1/2,-z'
'x,-y+1/2,z'
loop_
_atom_site_label
_atom_site_fract_x
_atom_site_fract_y
_atom_site_fract_z
Rb1 0.249 0.250 0.441
La1 0.271 0.250 0.946
Sn1 0.273 0.750 0.173
Se1 0.055 0.750 0.911
Se2 0.065 0.750 0.341
Se3 0.484 0.516 0.790
```

***

No. 9
DFT (PBE) results for Rb2LaSnSe4 after structural relaxation.

Summary:
E	-4.31	eV/atom
Fermi-level density of states	13.946	states/eV per cell
uncorrected formation energy	-9.7	eV per formula unit
total moment	0.00	μB per formula unit

```
data_Rb2LaSnSe4
_chemical_formula_sum 'Rb8 La4 Sn4 Se16'
_space_group_name_H-M_alt 'I m m a'
_space_group_IT_number 74
_space_group_name_Hall '-I 2b 2'
_cell_length_a 9.037
_cell_length_b 9.082
_cell_length_c 12.820
_cell_angle_alpha 90.00
_cell_angle_beta 90.00
_cell_angle_gamma 90.00
loop_
_atom_site_label
_atom_site_fract_x
_atom_site_fract_y
_atom_site_fract_z
Rb1 0.000 0.000 0.000
Rb2 0.250 0.250 0.250
La1 0.000 0.000 0.500
Sn1 0.250 0.250 0.750
Se1 0.000 0.040 0.738
Se2 0.222 0.250 0.519
```

***

No. 10
DFT (PBE) results for RbSrLa2Se4 after structural relaxation.

Summary:
E	-5.17	eV/atom
Fermi-level density of states	13.270	states/eV per cell
uncorrected formation energy	-14.9	eV per formula unit
total moment	0.00	μB per formula unit

```
data_RbSrLa2Se4
_chemical_formula_sum 'Rb4 Sr4 La8 Se16'
_space_group_name_H-M_alt 'C 1 2/c 1'
_space_group_IT_number 15
_cell_length_a 12.636
_cell_length_b 12.644
_cell_length_c 8.846
_cell_angle_alpha 90.00
_cell_angle_beta 134.40
_cell_angle_gamma 90.00
loop_
_space_group_symop_operation_xyz
'x,y,z'
'-x,-y,-z'
'-x,y,-z+1/2'
'x,-y,z+1/2'
'x+1/2,y+1/2,z'
'-x+1/2,-y+1/2,-z'
'-x+1/2,y+1/2,-z+1/2'
'x+1/2,-y+1/2,z+1/2'
loop_
_atom_site_label
_atom_site_fract_x
_atom_site_fract_y
_atom_site_fract_z
Rb1 0.000 0.000 0.000
Sr1 0.250 0.250 0.000
La1 0.000 0.500 0.000
La2 0.250 0.250 0.500
Se1 0.001 0.260 0.494
Se2 0.227 0.494 0.476
```

***

No. 11
DFT (PBE) results for Rb3La3TaSe8 after structural relaxation.

Summary:
E	-5.36	eV/atom
Fermi-level density of states	15.890	states/eV per cell
uncorrected formation energy	-23.0	eV per formula unit
total moment	1.02	μB per formula unit

```
data_Rb3La3TaSe8
_chemical_formula_sum 'Rb9 La9 Ta3 Se24'
_space_group_name_H-M_alt 'R -3 m'
_space_group_IT_number 166
_space_group_name_Hall '-R 3 2"'
_cell_length_a 8.5880
_cell_length_b 8.5880
_cell_length_c 24.5219
_cell_angle_alpha 90.00
_cell_angle_beta 90.00
_cell_angle_gamma 120.00
loop_
_atom_site_label
_atom_site_fract_x
_atom_site_fract_y
_atom_site_fract_z
Rb1 0.0000 0.5000 0.0000
La1 0.0000 0.5000 0.5000
Ta1 0.0000 0.0000 0.5000
Se1 0.0000 0.0000 0.2354
Se2 0.0363 0.5181 0.2286
```

***

No. 12
DFT (PBE) results for RbLaTb4Se8 after structural relaxation.

Summary:
E	-5.49	eV/atom
Fermi-level density of states	0.000	states/eV per cell
uncorrected formation energy	-24.5	eV per formula unit
total moment	0.00	μB per formula unit

```
data_RbLaTb4Se8
_chemical_formula_sum 'Rb3 La3 Tb12 Se24'
_space_group_name_H-M_alt 'R 3 m'
_space_group_IT_number 160
_space_group_name_Hall 'R 3 -2"'
_cell_length_a 8.6412
_cell_length_b 8.6412
_cell_length_c 21.8957
_cell_angle_alpha 90.00
_cell_angle_beta 90.00
_cell_angle_gamma 120.00
loop_
_atom_site_label
_atom_site_fract_x
_atom_site_fract_y
_atom_site_fract_z
Rb1 0.0000 0.0000 0.0000
La1 0.0000 0.0000 0.6348
Tb1 0.0000 0.0000 0.2564
Tb2 0.1724 0.3448 0.4621
Se1 0.0000 0.0000 0.3873
Se2 0.0000 0.0000 0.8611
Se3 0.0408 0.5204 0.3903
Se4 0.1735 0.3470 0.2091
```